Record 1
Material: HfSb2
Method: DFT, SCAN
State: PBEsol geometry

Unit cell a=4.087 b=4.087 c=8.441 alpha=90.00 beta=90.00 gamma=90.00
Element x y z (fractional)
Sb (0.500, 0.500, 0.000)
Sb (0.000, 0.500, 0.383)
Sb (0.500, 0.000, 0.617)
Sb (0.000, 0.000, 0.000)
Hf (0.500, 0.000, 0.264)
Hf (0.000, 0.500, 0.736)

Computed properties:
V, Å³/atom: 23.50
Spin magnetization, μB per formula unit: 0.000
E_form (uncorrected), eV/f.u.: -1.099
Crystal system: tetragonal

Record 2
Material: Al2PbAu
Method: DFT, SCAN
State: PBEsol geometry

Unit cell a=3.976 b=4.359 c=5.242 alpha=90.00 beta=112.61 gamma=90.00
Element x y z (fractional)
Pb (0.278, 0.500, 0.677)
Al (0.978, 0.000, 0.084)
Al (0.554, 0.500, 0.233)
Au (0.690, 0.000, 0.506)

Computed properties:
V, Å³/atom: 20.96
Spin magnetization, μB per formula unit: 0.000
Crystal system: monoclinic

Record 3
Material: MgIr2Rh
Method: DFT, SCAN
State: PBEsol geometry

Unit cell a=3.829 b=3.829 c=4.721 alpha=113.92 beta=113.92 gamma=90.00
Element x y z (fractional)
Mg (0.500, 0.500, 0.000)
Ir (0.750, 0.250, 0.500)
Ir (0.250, 0.750, 0.500)
Rh (0.000, 0.000, 0.000)

Computed properties:
V, Å³/atom: 14.18
Spin magnetization, μB per formula unit: 0.001
Crystal system: tetragonal

| no. | calculated total energy (eV/atom) |
| --- | --- |
| 1 | -46.10 |
| 2 | -40.16 |
| 3 | -45.47 |